(1)
Below is an optimized crystal structure of TlCl7, with properties calculated at the GGA-PBE level.

```
TlCl7
1.0
-5.070 -2.965 -2.955
-6.124 1.031 2.159
-4.213 3.520 -3.618
Cl Tl
7 1
direct
0.500 0.000 0.000
0.500 0.000 0.500
0.000 0.500 0.000
0.500 0.500 0.000
0.500 0.500 0.500
0.000 0.500 0.500
0.000 0.000 0.500
0.000 0.000 0.000
```

Output
The space-group type is Fm-3m, No. 225. Its uncorrected formation energy is 417 meV/atom.

---

(2)
Below is an optimized crystal structure of Pr2Nd2Ho15, with properties calculated at the GGA-PBE level.

```
Pr2Nd2Ho15
1.0
8.547 -0.267 1.693
1.339 8.445 1.693
-0.322 -0.267 8.707
Pr Ho Nd
2 15 2
direct
0.879 0.879 0.879
0.121 0.121 0.121
0.000 0.697 0.303
0.303 0.000 0.697
0.636 0.636 0.154
0.697 0.303 0.000
0.364 0.364 0.846
0.000 0.000 0.500
0.000 0.500 0.000
0.000 0.303 0.697
0.500 0.000 0.000
0.364 0.846 0.364
0.636 0.154 0.636
0.697 0.000 0.303
0.154 0.636 0.636
0.303 0.697 0.000
0.846 0.364 0.364
0.662 0.662 0.662
0.338 0.338 0.338
```

Output
The space-group type is R-3m, No. 166. The calculated formation energy is 278 meV/atom.

---

(3)
Below is an optimized crystal structure of CaSm2Zn, with properties calculated at the GGA-PBE level.

```
CaSm2Zn
1.0
4.168 0.000 0.000
0.000 5.280 0.000
0.000 0.000 5.280
Sm Zn Ca
2 1 1
direct
0.000 0.500 0.000
0.000 0.000 0.500
0.500 0.000 0.000
0.500 0.500 0.500
```

Output
The space-group type is P4/mmm, No. 123. Its polymorph energy (0 for the lowest one) is 0.137 eV/atom. The calculated formation energy is 24 meV/atom.

---

(4)
Below is an optimized crystal structure of KHfBr6, with properties calculated at the GGA-PBE level.

```
KHfBr6
1.0
-5.905 0.579 -3.014
-0.386 -6.514 1.308
-3.779 0.336 5.376
Br Hf K
6 1 1
direct
0.093 0.725 0.283
0.725 0.093 0.283
0.275 0.907 0.717
0.907 0.275 0.717
0.720 0.720 0.928
0.280 0.280 0.072
0.000 0.000 0.000
0.500 0.500 0.500
```

Output
The space-group type is C2/m, No. 12. Its uncorrected formation energy is -1230 meV/atom.

---

(5)
Below is an optimized crystal structure of Pm2Dy3PuTe6, with properties calculated at the GGA-PBE level.

```
Pm2Dy3PuTe6
1.0
4.378 0.000 0.000
0.000 8.853 0.286
-2.189 -2.582 9.259
Dy Te Pm Pu
3 6 2 1
direct
0.832 0.164 0.664
0.500 0.500 0.000
0.168 0.836 0.336
0.667 0.078 0.335
0.003 0.748 0.005
0.997 0.252 0.995
0.665 0.589 0.330
0.335 0.411 0.670
0.333 0.922 0.665
0.834 0.668 0.668
0.166 0.332 0.332
0.500 0.000 0.000
```

Output
The space-group type is C2/m, No. 12. Its uncorrected formation energy is -1309 meV/atom.

---

(6)
Below is an optimized crystal structure of Cu2AgMo, with properties calculated at the GGA-PBE level.

```
Cu2AgMo
1.0
2.637 0.000 0.000
0.000 3.770 0.000
0.000 0.000 5.879
Ag Cu Mo
1 2 1
direct
0.500 0.500 0.750
0.000 0.000 0.018
0.000 0.000 0.482
0.500 0.500 0.250
```

Output
The space-group type is Pmmm, No. 47. Its polymorph energy (0 for the lowest one) is 0.106 eV/atom. The calculated formation energy is 309 meV/atom.

---

(7)
Below is an optimized crystal structure of BaPbO3, with properties calculated at the GGA-PBE level.

```
BaPbO3
1.0
-3.513 -2.500 -1.616
2.929 -2.454 -2.570
0.534 -2.988 3.463
Ba Pb O
1 1 3
direct
0.000 0.000 0.000
0.500 0.500 0.500
0.000 0.500 0.000
0.500 0.000 0.000
0.000 0.000 0.500
```

Output
The space-group type is Pm-3m, No. 221. Its uncorrected formation energy is -578 meV/atom.

---

(8)
Below is an optimized crystal structure of YTl2As, with properties calculated at the GGA-PBE level.

```
YTl2As
1.0
-8.323 -2.224 -2.797
-7.411 -5.173 -0.594
-8.782 -1.998 0.961
As Tl Y
1 2 1
direct
0.750 0.750 0.750
0.010 0.010 0.010
0.490 0.490 0.490
0.250 0.250 0.250
```

Output
The space-group type is R-3m, No. 166. Its polymorph energy (0 for the lowest one) is 0.529 eV/atom. The calculated formation energy is 24 meV/atom.

---

(9)
Below is an optimized crystal structure of LiSb2PdI, with properties calculated at the GGA-PBE level.

```
LiSb2PdI
1.0
-1.185 -4.769 -0.468
2.495 -0.202 -4.255
4.369 -1.343 2.625
Sb Pd Li I
2 1 1 1
direct
0.500 0.000 0.000
0.000 0.500 0.000
0.500 0.500 0.500
0.000 0.000 0.000
0.000 0.000 0.500
```

Output
The space-group type is P4/mmm, No. 123. Its polymorph energy (0 for the lowest one) is 0.413 eV/atom. Its uncorrected formation energy is 476 meV/atom.

---

(10)
Below is an optimized crystal structure of Pm2Er3ThS6, with properties calculated at the GGA-PBE level.

```
Pm2Er3ThS6
1.0
-3.172 -2.301 -0.171
-0.043 -0.532 7.950
-3.332 8.063 -1.718
S Er Pm Th
6 3 2 1
direct
0.671 0.074 0.343
0.996 0.261 0.991
0.336 0.407 0.672
0.004 0.739 0.009
0.664 0.593 0.328
0.329 0.926 0.657
0.500 0.500 0.000
0.834 0.166 0.668
0.166 0.834 0.332
0.165 0.330 0.329
0.835 0.670 0.671
0.500 0.000 0.000
```

Output
The space-group type is C2/m, No. 12. Its uncorrected formation energy is -1957 meV/atom.

---

(11)
Below is an optimized crystal structure of CdSbRh, with properties calculated at the GGA-PBE level.

```
CdSbRh
1.0
2.287 -3.961 0.000
2.287 3.961 0.000
0.000 0.000 3.353
Sb Cd Rh
1 1 1
direct
0.333 0.667 0.500
0.000 0.000 0.000
0.667 0.333 0.500
```

Output
The space-group type is P-6m2, No. 187. Its uncorrected formation energy is -19 meV/atom.

---

(12)
Below is an optimized crystal structure of BaLa2Y, with properties calculated at the GGA-PBE level.

```
BaLa2Y
1.0
-6.087 2.407 0.916
-0.295 -6.374 -1.723
0.156 -0.996 3.656
Ba La Y
1 2 1
direct
0.000 0.500 0.500
0.500 0.500 0.000
0.000 0.000 0.000
0.500 0.000 0.500
```

Output
The space-group type is Cmmm, No. 65. Its polymorph energy (0 for the lowest one) is 0.059 eV/atom. The calculated formation energy is 166 meV/atom.

---

Repeat the seventh record exactly.
Below is an optimized crystal structure of BaPbO3, with properties calculated at the GGA-PBE level.

```
BaPbO3
1.0
-3.513 -2.500 -1.616
2.929 -2.454 -2.570
0.534 -2.988 3.463
Ba Pb O
1 1 3
direct
0.000 0.000 0.000
0.500 0.500 0.500
0.000 0.500 0.000
0.500 0.000 0.000
0.000 0.000 0.500
```

Output
The space-group type is Pm-3m, No. 221. Its uncorrected formation energy is -578 meV/atom.